1.
Here is a relaxed Li2PdPb2 crystal from Alexandria via LeMat-Bulk. Energies are from PBE.

Output
Space group: No. 36
Crystal system: orthorhombic
Magnetic moment in μB per formula unit: 0.00
Raw total energy in eV for the cell shown: -36.144
DFT formation energy in eV per formula unit: -1.6

Lattice parameters (Å, degrees): 7.9444 7.9444 5.7186 90.00 90.00 146.40
Fractional coordinates of all 10 atoms:
Li1 0.0331 0.9669 0.5000
Li2 0.1575 0.8425 0.0684
Li3 0.8425 0.1575 0.5684
Li4 0.9669 0.0331 0.0000
Pd1 0.3682 0.6318 0.8285
Pd2 0.6318 0.3682 0.3285
Pb1 0.2139 0.7861 0.5593
Pb2 0.4343 0.5657 0.3311
Pb3 0.5657 0.4343 0.8311
Pb4 0.7861 0.2139 0.0593

---

2.
Here is a relaxed Be2ReSe crystal from Alexandria via LeMat-Bulk. Energies are from PBE.

Output
Space group: No. 139
Crystal system: tetragonal
Magnetic moment in μB per formula unit: 0.00
Raw total energy in eV for the cell shown: -21.117
Formation energy (no corrections) in eV per atom: 0.567

Lattice parameters (Å, degrees): 4.6161 4.6161 4.6161 134.20 134.20 66.78
Fractional coordinates of all 4 atoms:
Be1 0.2500 0.7500 0.5000
Be2 0.7500 0.2500 0.5000
Re1 0.0000 0.0000 0.0000
Se1 0.5000 0.5000 0.0000